1.
VASP calculation (PBE) on a geometry-optimized Pu3Th2ZrN6 structure.

Results
Energy in eV per atom: -11.1128
Formation energy (no corrections) in eV per atom: -1.42

```
data_Pu3Th2ZrN6
_cell_length_a 6.112
_cell_length_b 10.593
_cell_length_c 6.030
_cell_angle_alpha 90.00
_cell_angle_beta 109.68
_cell_angle_gamma 90.00
_symmetry_space_group_name_H-M 'C 1 2/m 1'
_symmetry_Int_Tables_number 12
loop_
_symmetry_equiv_pos_as_xyz
'x,y,z'
'-x,-y,-z'
'-x,y,-z'
'x,-y,z'
'x+1/2,y+1/2,z'
'-x+1/2,-y+1/2,-z'
'-x+1/2,y+1/2,-z'
'x+1/2,-y+1/2,z'
loop_
_atom_site_label
_atom_site_type_symbol
_atom_site_fract_x
_atom_site_fract_y
_atom_site_fract_z
Pu1 Pu 0.000 0.000 0.000
Pu2 Pu 0.000 0.335 0.000
Th1 Th 0.000 0.167 0.500
Zr1 Zr 0.000 0.500 0.500
N1 N 0.231 0.500 0.249
N2 N 0.240 0.343 0.748
```

=====

2.
VASP calculation (PBE) on a geometry-optimized Pu2ThZrN4 structure.

Results
Energy in eV per atom: -11.1567
Formation energy (no corrections) in eV per atom: -1.42

```
data_Pu2ThZrN4
_cell_length_a 5.962
_cell_length_b 3.475
_cell_length_c 6.073
_cell_angle_alpha 90.00
_cell_angle_beta 109.54
_cell_angle_gamma 90.00
_symmetry_space_group_name_H-M 'P 1 2/m 1'
_symmetry_Int_Tables_number 10
loop_
_symmetry_equiv_pos_as_xyz
'x,y,z'
'-x,-y,-z'
'-x,y,-z'
'x,-y,z'
loop_
_atom_site_label
_atom_site_type_symbol
_atom_site_fract_x
_atom_site_fract_y
_atom_site_fract_z
Pu1 Pu 0.000 0.000 0.000
Pu2 Pu 0.000 0.500 0.500
Th1 Th 0.500 0.000 0.500
Zr1 Zr 0.500 0.500 0.000
N1 N 0.251 0.500 0.225
N2 N 0.260 0.000 0.769
```

=====

3.
VASP calculation (PBE) on a geometry-optimized PuTi4N6 structure.

Results
Energy in eV per atom: -10.2070
Formation energy (no corrections) in eV per atom: -1.49

```
data_PuTi4N6
_cell_length_a 3.042
_cell_length_b 9.997
_cell_length_c 15.340
_cell_angle_alpha 90.00
_cell_angle_beta 90.00
_cell_angle_gamma 90.00
_symmetry_space_group_name_H-M 'C m c m'
_symmetry_Int_Tables_number 63
_symmetry_space_group_name_Hall '-C 2c 2'
loop_
_atom_site_label
_atom_site_type_symbol
_atom_site_fract_x
_atom_site_fract_y
_atom_site_fract_z
Pu1 Pu 0.000 0.158 0.250
Ti1 Ti 0.000 0.102 0.630
Ti2 Ti 0.000 0.367 0.548
N1 N 0.000 0.000 0.000
N2 N 0.000 0.169 0.750
N3 N 0.000 0.268 0.085
N4 N 0.000 0.464 0.658
```

=====

4.
VASP calculation (PBE) on a geometry-optimized PuTi2N4 structure.

Results
Energy in eV per atom: -10.3787
Formation energy (no corrections) in eV per atom: -1.32

```
data_PuTi2N4
_cell_length_a 3.074
_cell_length_b 9.960
_cell_length_c 10.063
_cell_angle_alpha 90.00
_cell_angle_beta 90.00
_cell_angle_gamma 90.00
_symmetry_space_group_name_H-M 'C m c m'
_symmetry_Int_Tables_number 63
_symmetry_space_group_name_Hall '-C 2c 2'
loop_
_atom_site_label
_atom_site_type_symbol
_atom_site_fract_x
_atom_site_fract_y
_atom_site_fract_z
Pu1 Pu 0.000 0.108 0.250
Ti1 Ti 0.000 0.367 0.061
N1 N 0.000 0.000 0.000
N2 N 0.000 0.267 0.615
N3 N 0.000 0.450 0.250
```

=====

What is the energy in the fourth record?
-10.3787 eV per atom